No. 1
A geometry-optimized Er3Pu2N4 structure. Source: Alexandria, functional PBE-GGA.

Computed properties:
formation energy (no corrections): -1.353 eV/atom
uncorrected energy: -9.76 eV per atom
total magnetic moment: 11.7 μB/f.u.
space-group type: C2/m, No. 12

Unit cell a=3.399 b=5.965 c=7.877 alpha=74.44 beta=77.54 gamma=73.45
Element x y z (fractional)
Er1 0.000 0.000 0.000
Er2 0.209 0.397 0.185
Er3 0.791 0.603 0.815
Pu1 0.600 0.194 0.607
Pu2 0.400 0.806 0.393
N1 0.806 0.088 0.300
N2 0.194 0.912 0.700
N3 0.395 0.306 0.904
N4 0.605 0.694 0.096

No. 2
A geometry-optimized Er2PuN3 structure. Source: Alexandria, functional PBE-GGA.

Computed properties:
formation energy (no corrections): -1.590 eV/atom
uncorrected energy: -9.66 eV per atom
total magnetic moment: 4.8 μB/f.u.
space-group type: I4/mmm, No. 139

Unit cell a=3.446 b=3.446 c=7.690 alpha=102.94 beta=102.94 gamma=90.02
Element x y z (fractional)
Er1 0.103 0.105 0.212
Er2 0.765 0.767 0.536
Pu1 0.434 0.436 0.874
N1 0.934 0.936 0.874
N2 0.268 0.269 0.541
N3 0.601 0.602 0.207

No. 3
A geometry-optimized Er4PuN4 structure. Source: Alexandria, functional PBE-GGA.

Computed properties:
formation energy (no corrections): -1.418 eV/atom
uncorrected energy: -8.74 eV per atom
total magnetic moment: 5.7 μB/f.u.
space-group type: I4/m, No. 87

Unit cell a=5.997 b=5.997 c=5.997 alpha=99.36 beta=99.36 gamma=132.43
Element x y z (fractional)
Er1 0.607 0.812 0.419
Er2 0.393 0.188 0.581
Er3 0.188 0.607 0.795
Er4 0.812 0.393 0.205
Pu1 0.000 0.000 0.000
N1 0.902 0.701 0.603
N2 0.098 0.299 0.397
N3 0.299 0.902 0.201
N4 0.701 0.098 0.799

No. 4
A geometry-optimized ErPu2N structure. Source: Alexandria, functional PBE-GGA.

Computed properties:
formation energy (no corrections): 0.052 eV/atom
uncorrected energy: -10.34 eV per atom
total magnetic moment: 0.0 μB/f.u.
space-group type: R-3m, No. 166

Unit cell a=3.949 b=3.949 c=6.607 alpha=72.61 beta=72.61 gamma=60.00
Element x y z (fractional)
N1 0.000 0.000 0.000
Er1 0.500 0.500 0.500
Pu1 0.310 0.310 0.070
Pu2 0.690 0.690 0.930

No. 5
A geometry-optimized Er4PuN5 structure. Source: Alexandria, functional PBE-GGA.

Computed properties:
formation energy (no corrections): -1.659 eV/atom
uncorrected energy: -9.08 eV per atom
total magnetic moment: 4.6 μB/f.u.
space-group type: I4/m, No. 87

Unit cell a=4.852 b=5.949 c=5.949 alpha=80.42 beta=65.93 gamma=65.93
Element x y z (fractional)
Er1 0.401 0.401 0.798
Er2 0.802 0.798 0.599
Er3 0.200 0.202 0.401
Er4 0.601 0.599 0.202
Pu1 0.001 0.000 0.000
N1 0.904 0.393 0.801
N2 0.297 0.801 0.607
N3 0.705 0.199 0.393
N4 0.098 0.607 0.199
N5 0.501 0.000 0.000

No. 6
A geometry-optimized Er2Pu3N4 structure. Source: Alexandria, functional PBE-GGA.

Computed properties:
formation energy (no corrections): -1.225 eV/atom
uncorrected energy: -10.72 eV per atom
total magnetic moment: 15.7 μB/f.u.
space-group type: C2/m, No. 12

Unit cell a=3.488 b=6.083 c=7.705 alpha=76.00 beta=76.92 gamma=73.34
Element x y z (fractional)
Er1 0.608 0.175 0.610
Er2 0.392 0.825 0.390
Pu1 0.000 0.000 0.000
Pu2 0.201 0.402 0.197
Pu3 0.799 0.598 0.803
N1 0.799 0.097 0.306
N2 0.201 0.903 0.694
N3 0.397 0.300 0.906
N4 0.603 0.700 0.094

No. 7
A geometry-optimized ErPu3N structure. Source: Alexandria, functional PBE-GGA.

Computed properties:
formation energy (no corrections): -0.289 eV/atom
uncorrected energy: -11.47 eV per atom
total magnetic moment: 16.4 μB/f.u.
space-group type: Pm-3m, No. 221

Unit cell a=4.875 b=4.875 c=4.875 alpha=90.00 beta=90.00 gamma=90.00
Element x y z (fractional)
N1 0.000 0.000 0.000
Er1 0.500 0.500 0.500
Pu1 0.000 0.500 0.000
Pu2 0.000 0.000 0.500
Pu3 0.500 0.000 0.000

No. 8
A geometry-optimized ErPuN2 structure. Source: Alexandria, functional PBE-GGA.

Computed properties:
formation energy (no corrections): -1.291 eV/atom
uncorrected energy: -10.18 eV per atom
total magnetic moment: 5.0 μB/f.u.
space-group type: R3m, No. 160

Unit cell a=3.381 b=3.381 c=6.265 alpha=74.35 beta=74.35 gamma=60.00
Element x y z (fractional)
Er1 0.671 0.671 0.988
Pu1 0.500 0.500 0.501
N1 0.079 0.079 0.763
N2 0.251 0.251 0.248

No. 9
A geometry-optimized Er3PuN4 structure. Source: Alexandria, functional PBE-GGA.

Computed properties:
formation energy (no corrections): -1.633 eV/atom
uncorrected energy: -9.30 eV per atom
total magnetic moment: 4.7 μB/f.u.
space-group type: Cmmm, No. 65

Unit cell a=3.446 b=5.943 c=5.943 alpha=109.39 beta=90.00 gamma=90.00
Element x y z (fractional)
Er1 0.000 0.000 0.500
Er2 0.500 0.500 0.500
Er3 0.000 0.500 0.000
Pu1 0.500 0.000 0.000
N1 0.000 0.247 0.247
N2 0.500 0.752 0.248
N3 0.000 0.753 0.753
N4 0.500 0.248 0.752

No. 10
A geometry-optimized ErPu2RhN4 structure. Source: Alexandria, functional PBE-GGA.

Computed properties:
formation energy (no corrections): -0.911 eV/atom
uncorrected energy: -10.15 eV per atom
total magnetic moment: 7.2 μB/f.u.
space-group type: Cmcm, No. 63

Unit cell a=3.349 b=5.939 c=11.666 alpha=90.00 beta=90.00 gamma=106.38
Element x y z (fractional)
Er1 0.116 0.231 0.750
Er2 0.884 0.769 0.250
Pu1 0.371 0.742 0.555
Pu2 0.629 0.258 0.055
Pu3 0.629 0.258 0.445
Pu4 0.371 0.742 0.945
Rh1 0.854 0.707 0.750
Rh2 0.146 0.293 0.250
N1 0.273 0.545 0.113
N2 0.727 0.455 0.613
N3 0.727 0.455 0.887
N4 0.273 0.545 0.387
N5 0.000 0.000 0.500
N6 0.000 0.000 0.000
N7 0.466 0.932 0.750
N8 0.534 0.068 0.250

No. 11
A geometry-optimized Er2PuRhN4 structure. Source: Alexandria, functional PBE-GGA.

Computed properties:
formation energy (no corrections): -0.983 eV/atom
uncorrected energy: -9.00 eV per atom
total magnetic moment: 3.9 μB/f.u.
space-group type: Cmcm, No. 63

Unit cell a=3.320 b=5.976 c=11.510 alpha=90.00 beta=90.00 gamma=106.13
Element x y z (fractional)
Er1 0.371 0.742 0.548
Er2 0.629 0.258 0.048
Er3 0.629 0.258 0.452
Er4 0.371 0.742 0.952
Pu1 0.119 0.237 0.750
Pu2 0.881 0.763 0.250
Rh1 0.857 0.715 0.750
Rh2 0.143 0.285 0.250
N1 0.277 0.554 0.130
N2 0.723 0.446 0.630
N3 0.723 0.446 0.870
N4 0.277 0.554 0.370
N5 0.000 0.000 0.500
N6 0.000 0.000 0.000
N7 0.470 0.939 0.750
N8 0.530 0.061 0.250

No. 12
A geometry-optimized ErPuS2N structure. Source: Alexandria, functional PBE-GGA.

Computed properties:
formation energy (no corrections): -1.690 eV/atom
uncorrected energy: -8.79 eV per atom
total magnetic moment: 3.8 μB/f.u.
space-group type: P4/nmm, No. 129

Unit cell a=3.806 b=3.806 c=13.678 alpha=90.00 beta=90.00 gamma=90.00
Element x y z (fractional)
Er1 0.500 0.000 0.121
Er2 0.000 0.500 0.879
Pu1 0.500 0.000 0.585
Pu2 0.000 0.500 0.415
S1 0.000 0.500 0.692
S2 0.000 0.500 0.092
S3 0.500 0.000 0.908
S4 0.500 0.000 0.308
N1 0.000 0.000 0.500
N2 0.500 0.500 0.500

No. 13
A geometry-optimized ErPuSe2N structure. Source: Alexandria, functional PBE-GGA.

Computed properties:
formation energy (no corrections): -1.558 eV/atom
uncorrected energy: -8.40 eV per atom
total magnetic moment: 3.8 μB/f.u.
space-group type: P4/nmm, No. 129

Unit cell a=3.914 b=3.914 c=14.380 alpha=90.00 beta=90.00 gamma=90.00
Element x y z (fractional)
Er1 0.500 0.000 0.125
Er2 0.000 0.500 0.875
Pu1 0.500 0.000 0.578
Pu2 0.000 0.500 0.422
Se1 0.000 0.500 0.689
Se2 0.000 0.500 0.089
Se3 0.500 0.000 0.911
Se4 0.500 0.000 0.311
N1 0.000 0.000 0.500
N2 0.500 0.500 0.500

No. 14
A geometry-optimized SmErPuN3 structure. Source: Alexandria, functional PBE-GGA.

Computed properties:
formation energy (no corrections): -1.025 eV/atom
uncorrected energy: -9.12 eV per atom
total magnetic moment: 0.0 μB/f.u.
space-group type: P2_1/m, No. 11

Unit cell a=3.609 b=7.049 c=8.462 alpha=98.31 beta=90.00 gamma=90.00
Element x y z (fractional)
Sm1 0.750 0.835 0.861
Sm2 0.250 0.165 0.139
Er1 0.250 0.632 0.150
Er2 0.750 0.368 0.850
Pu1 0.250 0.056 0.582
Pu2 0.750 0.944 0.418
N1 0.250 0.772 0.418
N2 0.750 0.899 0.151
N3 0.750 0.397 0.124
N4 0.750 0.228 0.582
N5 0.250 0.603 0.876
N6 0.250 0.101 0.849

No. 15
A geometry-optimized Sm2ErPuN4 structure. Source: Alexandria, functional PBE-GGA.

Computed properties:
formation energy (no corrections): -1.492 eV/atom
uncorrected energy: -9.20 eV per atom
total magnetic moment: 4.6 μB/f.u.
space-group type: P2/m, No. 10

Unit cell a=3.519 b=6.061 c=6.081 alpha=109.27 beta=90.00 gamma=90.00
Element x y z (fractional)
Sm1 0.500 0.000 0.500
Sm2 0.000 0.500 0.500
Er1 0.500 0.500 0.000
Pu1 0.000 0.000 0.000
N1 0.500 0.241 0.232
N2 0.500 0.759 0.768
N3 0.000 0.250 0.765
N4 0.000 0.750 0.235

No. 16
A geometry-optimized Sr3Er2PuN6 structure. Source: Alexandria, functional PBE-GGA.

Computed properties:
formation energy (no corrections): -1.159 eV/atom
uncorrected energy: -7.70 eV per atom
total magnetic moment: 2.0 μB/f.u.
space-group type: C2/m, No. 12

Unit cell a=6.087 b=6.087 c=6.318 alpha=99.25 beta=99.25 gamma=120.02
Element x y z (fractional)
Sr1 0.168 0.832 0.500
Sr2 0.832 0.168 0.500
Sr3 0.500 0.500 0.500
Er1 0.333 0.667 0.000
Er2 0.667 0.333 0.000
Pu1 0.000 0.000 0.000
N1 0.932 0.622 0.796
N2 0.760 0.760 0.202
N3 0.068 0.378 0.204
N4 0.622 0.932 0.796
N5 0.240 0.240 0.798
N6 0.378 0.068 0.204

No. 17
A geometry-optimized Sr2ErPuN4 structure. Source: Alexandria, functional PBE-GGA.

Computed properties:
formation energy (no corrections): -1.131 eV/atom
uncorrected energy: -8.08 eV per atom
total magnetic moment: 3.0 μB/f.u.
space-group type: P2/m, No. 10

Unit cell a=3.572 b=6.046 c=6.294 alpha=108.21 beta=90.00 gamma=90.00
Element x y z (fractional)
Sr1 0.500 0.000 0.500
Sr2 0.000 0.500 0.500
Er1 0.500 0.500 0.000
Pu1 0.000 0.000 0.000
N1 0.500 0.229 0.206
N2 0.500 0.771 0.794
N3 0.000 0.241 0.802
N4 0.000 0.759 0.198

No. 18
A geometry-optimized Er3Pu2TaN6 structure. Source: Alexandria, functional PBE-GGA.

Computed properties:
formation energy (no corrections): -1.488 eV/atom
uncorrected energy: -10.17 eV per atom
total magnetic moment: 9.7 μB/f.u.
space-group type: C2/m, No. 12

Unit cell a=5.865 b=5.865 c=5.825 alpha=99.66 beta=99.66 gamma=119.95
Element x y z (fractional)
Er1 0.166 0.834 0.500
Er2 0.834 0.166 0.500
Er3 0.500 0.500 0.500
Pu1 0.334 0.666 0.000
Pu2 0.666 0.334 0.000
Ta1 0.000 0.000 0.000
N1 0.922 0.607 0.765
N2 0.765 0.765 0.239
N3 0.078 0.393 0.235
N4 0.607 0.922 0.765
N5 0.235 0.235 0.761
N6 0.393 0.078 0.235

No. 19
A geometry-optimized Er2PuTaN4 structure. Source: Alexandria, functional PBE-GGA.

Computed properties:
formation energy (no corrections): -1.464 eV/atom
uncorrected energy: -10.04 eV per atom
total magnetic moment: 4.7 μB/f.u.
space-group type: P2/m, No. 10

Unit cell a=3.336 b=5.785 c=5.781 alpha=109.05 beta=90.00 gamma=90.00
Element x y z (fractional)
Er1 0.500 0.000 0.500
Er2 0.000 0.500 0.500
Pu1 0.500 0.500 0.000
Ta1 0.000 0.000 0.000
N1 0.500 0.230 0.230
N2 0.500 0.770 0.770
N3 0.000 0.238 0.762
N4 0.000 0.762 0.238

No. 20
A geometry-optimized ErPuTaN3 structure. Source: Alexandria, functional PBE-GGA.

Computed properties:
formation energy (no corrections): -1.024 eV/atom
uncorrected energy: -10.31 eV per atom
total magnetic moment: 5.3 μB/f.u.
space-group type: P2_1/m, No. 11

Unit cell a=3.351 b=7.106 c=7.783 alpha=88.91 beta=90.00 gamma=90.00
Element x y z (fractional)
Er1 0.750 0.867 0.846
Er2 0.250 0.133 0.154
Pu1 0.250 0.609 0.165
Pu2 0.750 0.391 0.835
Ta1 0.250 0.135 0.573
Ta2 0.750 0.865 0.427
N1 0.250 0.826 0.574
N2 0.750 0.878 0.157
N3 0.750 0.383 0.109
N4 0.750 0.174 0.426
N5 0.250 0.617 0.891
N6 0.250 0.122 0.843